w:
The following is a DFT calculation (PBE) of a geometry-optimized Sc2Zn5Au3 structure.

It has space group Cmc2_1 (No. 36), with a = 4.4354 Å, b = 24.5655 Å, c = 6.5461 Å, α = 90.00°, β = 90.00° and γ = 90.00°. The distinct sites, in fractional coordinates, are Sc at (0.0000, 0.0231, 0.0000), Sc at (0.0000, 0.3044, 0.7819), Zn at (0.0000, 0.0950, 0.6343), Zn at (0.0000, 0.1966, 0.9674), Zn at (0.0000, 0.1995, 0.5577), Zn at (0.0000, 0.3776, 0.4400), Zn at (0.0000, 0.4348, 0.8134), Au at (0.0000, 0.1200, 0.2435), Au at (0.0000, 0.2773, 0.2585) and Au at (0.0000, 0.4637, 0.2069).

As for the volume: 713.3 Å³/cell. The calculation puts the density of states at the Fermi level at 20.0 states/eV/cell.

x:
The following is a DFT calculation (PBE) of a geometry-optimized Sc2Zn5Au3 structure.

It has space group Ibam (No. 72), with a = 10.7998 Å, b = 12.1980 Å, c = 5.5066 Å, α = 90.00°, β = 90.00° and γ = 90.00°. The distinct sites, in fractional coordinates, are Sc at (0.1239, 0.2386, 0.0000), Zn at (0.0000, 0.5000, 0.2500), Zn at (0.1352, 0.1396, 0.5000), Zn at (0.2441, 0.5000, 0.2500), Au at (0.0000, 0.0000, 0.2500) and Au at (0.1190, 0.3450, 0.5000).

As for the volume: 725.4 Å³/cell. The calculation puts the density of states at the Fermi level at 23.3 states/eV/cell.

Which of them is most stable? Easy: w.

w:
The following is a DFT calculation (PBE) of a geometry-optimized Sc2Zn3Au structure.

It has space group Fmmm (No. 69), with a = 6.3086 Å, b = 8.8464 Å, c = 15.3748 Å, α = 90.00°, β = 90.00° and γ = 90.00°. The distinct sites, in fractional coordinates, are Sc at (0.2473, 0.0000, 0.0000), Sc at (0.2500, 0.2500, 0.2500), Zn at (0.0000, 0.0000, 0.3368), Zn at (0.0000, 0.2452, 0.4185) and Au at (0.0000, 0.0000, 0.1669).

As for the volume: 858.0 Å³/cell. The calculation puts the density of states at the Fermi level at 29.5 states/eV/cell.

x:
The following is a DFT calculation (PBE) of a geometry-optimized Sc2Zn3Au structure.

It has space group Imm2 (No. 44), with a = 3.3334 Å, b = 4.2129 Å, c = 16.3108 Å, α = 90.00°, β = 90.00° and γ = 90.00°. The distinct sites, in fractional coordinates, are Sc at (0.0000, 0.0000, 0.0000), Sc at (0.0000, 0.5000, 0.2373), Zn at (0.0000, 0.0000, 0.5839), Zn at (0.0000, 0.5000, 0.6573), Zn at (0.0000, 0.5000, 0.8080) and Au at (0.0000, 0.0000, 0.4259).

As for the volume: 229.1 Å³/cell. The calculation puts the density of states at the Fermi level at 8.9 states/eV/cell.

Which of them is most stable? Easy: w.

w:
The following is a DFT calculation (PBE) of a geometry-optimized Zr3ScAu structure.

It has space group Pm-3m (No. 221), with a = 5.1975 Å, b = 5.1975 Å, c = 5.1975 Å, α = 90.00°, β = 90.00° and γ = 90.00°. The distinct sites, in fractional coordinates, are Zr at (0.0000, 0.0000, 0.5000), Sc at (0.5000, 0.5000, 0.5000) and Au at (0.0000, 0.0000, 0.0000).

As for the volume: 140.4 Å³/cell. The calculation puts the density of states at the Fermi level at 5.8 states/eV/cell.

x:
The following is a DFT calculation (PBE) of a geometry-optimized Zr3ScAu structure.

It has space group Pm-3m (No. 221), with a = 4.9711 Å, b = 4.9711 Å, c = 4.9711 Å, α = 90.00°, β = 90.00° and γ = 90.00°. The distinct sites, in fractional coordinates, are Zr at (0.0000, 0.0000, 0.5000), Sc at (0.0000, 0.0000, 0.0000) and Au at (0.5000, 0.5000, 0.5000).

As for the volume: 122.8 Å³/cell. The calculation puts the density of states at the Fermi level at 8.0 states/eV/cell.

Which of them is most stable? Easy: w.